Computed, not measured: a crystal of Ca3Au4 relaxed with PBEsol at the SCAN level of DFT.

DOS at the Fermi energy: 4.4 states/eV/cell
Magnetization: 0.0 μB per formula unit
Space group: R-3
Calculated total energy: -624.37 eV per cell

a b c (Å): 5.762 8.136 8.136
angles (deg): 114.61 103.65 103.65
Positions (direct):
Au: 0.447 0.665 0.499
Au: 0.948 0.501 0.166
Au: 0.000 0.000 0.000
Au: 0.782 0.834 0.335
Au: 0.052 0.499 0.834
Au: 0.500 0.000 0.000
Au: 0.553 0.335 0.501
Au: 0.218 0.166 0.665
Ca: 0.600 0.626 0.883
Ca: 0.974 0.258 0.374
Ca: 0.717 0.117 0.742
Ca: 0.283 0.883 0.258
Ca: 0.400 0.374 0.117
Ca: 0.026 0.742 0.626

Computed, not measured: a crystal of Ca2Au relaxed with PBEsol at the SCAN level of DFT.

DOS at the Fermi energy: 17.5 states/eV/cell
Magnetization: 0.1 μB per formula unit
Space group: Fd-3m
Calculated total energy: -724.05 eV per cell

a b c (Å): 9.793 9.793 9.793
angles (deg): 60.00 60.00 60.00
Positions (direct):
Au: 0.901 0.901 0.901
Au: 0.954 0.349 0.349
Au: 0.296 0.901 0.901
Au: 0.349 0.954 0.349
Au: 0.901 0.296 0.901
Au: 0.901 0.901 0.296
Au: 0.349 0.349 0.349
Au: 0.349 0.349 0.954
Ca: 0.943 0.557 0.557
Ca: 0.307 0.693 0.307
Ca: 0.307 0.307 0.693
Ca: 0.557 0.557 0.943
Ca: 0.557 0.943 0.557
Ca: 0.307 0.693 0.693
Ca: 0.693 0.693 0.307
Ca: 0.125 0.125 0.625
Ca: 0.557 0.943 0.943
Ca: 0.693 0.307 0.693
Ca: 0.693 0.307 0.307
Ca: 0.625 0.125 0.125
Ca: 0.943 0.557 0.943
Ca: 0.943 0.943 0.557
Ca: 0.125 0.125 0.125
Ca: 0.125 0.625 0.125

Computed, not measured: a crystal of Ca5Au relaxed with PBEsol at the SCAN level of DFT.

DOS at the Fermi energy: 3.4 states/eV/cell
Magnetization: 0.9 μB per formula unit
Space group: F-43m
Excess energy over the best structure of this formula in the dataset: 0.611 eV per atom

a b c (Å): 6.732 6.732 6.732
angles (deg): 60.00 60.00 60.00
Last column: magnetic moment on the atom in μB.
Positions (direct):
Ca: 0.250 0.250 0.250  -0.06
Ca: 0.625 0.625 0.124  -0.07
Ca: 0.124 0.625 0.625  -0.07
Ca: 0.625 0.625 0.625  -0.07
Ca: 0.625 0.124 0.625  -0.07
Au: 0.000 0.000 0.000  -0.05

Computed, not measured: a crystal of Ca2Au relaxed with PBEsol at the SCAN level of DFT.

DOS at the Fermi energy: 4.6 states/eV/cell
Magnetization: 0.1 μB per formula unit
Space group: Cmcm
Calculated total energy: -180.74 eV per cell

a b c (Å): 3.630 5.189 9.290
angles (deg): 90.00 101.27 90.00
Positions (direct):
Ca: 0.198 0.750 0.395
Ca: 0.932 0.750 0.865
Ca: 0.068 0.250 0.135
Ca: 0.802 0.250 0.605
Au: 0.567 0.750 0.135
Au: 0.433 0.250 0.865

Computed, not measured: a crystal of Ca2Au relaxed with PBEsol at the SCAN level of DFT.

DOS at the Fermi energy: 3.5 states/eV/cell
Magnetization: 0.0 μB per formula unit
Space group: Cmc2_1
Calculated total energy: -181.36 eV per cell

a b c (Å): 3.881 6.801 6.946
angles (deg): 90.00 90.00 106.58
Positions (direct):
Ca: 0.516 0.032 0.791
Ca: 0.484 0.968 0.291
Ca: 0.218 0.437 0.472
Ca: 0.782 0.563 0.972
Au: 0.116 0.231 0.071
Au: 0.884 0.769 0.571

Computed, not measured: a crystal of Ca2Au relaxed with PBEsol at the SCAN level of DFT.

DOS at the Fermi energy: 2.2 states/eV/cell
Magnetization: 0.0 μB per formula unit
Space group: Fm-3m
Calculated total energy: -90.62 eV per cell

a b c (Å): 5.028 5.028 5.028
angles (deg): 60.00 60.00 60.00
Positions (direct):
Ca: 0.750 0.750 0.750
Ca: 0.250 0.250 0.250
Au: 0.000 0.000 0.000

Computed, not measured: a crystal of Ca2Au relaxed with PBEsol at the SCAN level of DFT.

DOS at the Fermi energy: 4.9 states/eV/cell
Magnetization: 0.0 μB per formula unit
Space group: I4_1/amd
Calculated total energy: -180.84 eV per cell

a b c (Å): 3.584 3.584 13.939
angles (deg): 97.39 97.39 90.00
Positions (direct):
Ca: 0.688 0.188 0.375
Ca: 0.562 0.562 0.125
Ca: 0.812 0.312 0.625
Ca: 0.438 0.438 0.875
Au: 0.250 0.750 0.500
Au: 0.000 0.000 0.000

Computed, not measured: a crystal of Ca2Au relaxed with PBEsol at the SCAN level of DFT.

DOS at the Fermi energy: 2.9 states/eV/cell
Magnetization: 0.0 μB per formula unit
Space group: Pnnm
Calculated total energy: -181.22 eV per cell

a b c (Å): 4.199 6.709 7.014
angles (deg): 90.00 90.00 90.00
Positions (direct):
Au: 0.500 0.500 0.500
Au: 0.000 0.000 0.000
Ca: 0.500 0.753 0.837
Ca: 0.000 0.253 0.663
Ca: 0.500 0.247 0.163
Ca: 0.000 0.747 0.337

Computed, not measured: a crystal of Ca3Au5 relaxed with PBEsol at the SCAN level of DFT.

DOS at the Fermi energy: 2.8 states/eV/cell
Magnetization: 0.0 μB per formula unit
Space group: Cmmm
Calculated total energy: -381.10 eV per cell

a b c (Å): 4.988 5.904 5.904
angles (deg): 103.95 90.00 90.00
Positions (direct):
Ca: 0.500 0.208 0.792
Ca: 0.000 0.500 0.500
Ca: 0.500 0.792 0.208
Au: 0.000 0.000 0.000
Au: 0.500 0.300 0.300
Au: 0.000 0.500 0.000
Au: 0.000 0.000 0.500
Au: 0.500 0.700 0.700

Computed, not measured: a crystal of Ca5Au2 relaxed with PBEsol at the SCAN level of DFT.

DOS at the Fermi energy: 10.0 states/eV/cell
Magnetization: 0.1 μB per formula unit
Space group: C2/c
Calculated total energy: -382.91 eV per cell

a b c (Å): 6.763 7.679 8.921
angles (deg): 97.13 112.28 90.00
Positions (direct):
Ca: 0.201 0.922 0.181
Ca: 0.799 0.078 0.819
Ca: 0.421 0.250 0.000
Ca: 0.638 0.317 0.437
Ca: 0.362 0.683 0.563
Ca: 0.020 0.578 0.819
Ca: 0.201 0.183 0.563
Ca: 0.799 0.817 0.437
Ca: 0.579 0.750 0.000
Ca: 0.980 0.422 0.181
Au: 0.182 0.919 0.780
Au: 0.403 0.581 0.220
Au: 0.818 0.081 0.220
Au: 0.597 0.419 0.780

Computed, not measured: a crystal of CaAu4 relaxed with PBEsol at the SCAN level of DFT.

DOS at the Fermi energy: 2.0 states/eV/cell
Magnetization: 0.0 μB per formula unit
Space group: I4/mmm
Calculated total energy: -288.96 eV per cell

a b c (Å): 3.937 3.937 7.164
angles (deg): 105.95 105.95 90.00
Positions (direct):
Ca: 0.000 0.000 0.000
Au: 0.250 0.750 0.500
Au: 0.400 0.400 0.801
Au: 0.750 0.250 0.500
Au: 0.600 0.600 0.199

Computed, not measured: a crystal of Ca5Au relaxed with PBEsol at the SCAN level of DFT.

DOS at the Fermi energy: 5.7 states/eV/cell
Magnetization: 0.0 μB per formula unit
Space group: C2/m
Excess energy over the best structure of this formula in the dataset: 0.000 eV per atom

a b c (Å): 3.755 6.737 9.128
angles (deg): 68.82 78.13 73.82
Positions (direct):
Ca: 0.698 0.942 0.661
Ca: 0.652 0.627 0.069
Ca: 0.028 0.500 0.444
Ca: 0.404 0.373 0.820
Ca: 0.357 0.058 0.228
Au: 0.028 0.000 0.945

Computed, not measured: a crystal of Ca4CdAu relaxed with PBEsol at the SCAN level of DFT.

DOS at the Fermi energy: 4.6 states/eV/cell
Magnetization: 0.0 μB per formula unit
Space group: F-43m
Calculated total energy: -136.21 eV per cell

a b c (Å): 6.325 6.325 6.325
angles (deg): 60.00 60.00 60.00
Positions (direct):
Ca: 0.375 0.375 0.876
Ca: 0.375 0.876 0.375
Ca: 0.876 0.375 0.375
Ca: 0.375 0.375 0.375
Au: 0.000 0.000 0.000
Cd: 0.750 0.750 0.750

Computed, not measured: a crystal of CaCd2Au relaxed with PBEsol at the SCAN level of DFT.

DOS at the Fermi energy: 1.5 states/eV/cell
Magnetization: 0.0 μB per formula unit
Space group: Pm
Calculated total energy: -141.53 eV per cell

a b c (Å): 3.623 4.184 6.308
angles (deg): 90.00 106.96 90.00
Positions (direct):
Cd: 0.078 0.000 0.030
Cd: 0.678 0.500 0.231
Ca: 0.416 0.500 0.706
Au: 0.829 0.000 0.534

Computed, not measured: a crystal of Ca2CdAu relaxed with PBEsol at the SCAN level of DFT.

DOS at the Fermi energy: 2.8 states/eV/cell
Magnetization: 0.0 μB per formula unit
Space group: P4/mmm
Calculated total energy: -121.64 eV per cell

a b c (Å): 3.591 3.591 7.614
angles (deg): 90.00 90.00 90.00
Positions (direct):
Ca: 0.000 0.000 0.730
Ca: 0.000 0.000 0.270
Cd: 0.500 0.500 0.000
Au: 0.500 0.500 0.500

Computed, not measured: a crystal of CaCd2Au relaxed with PBEsol at the SCAN level of DFT.

DOS at the Fermi energy: 1.7 states/eV/cell
Magnetization: 0.0 μB per formula unit
Space group: I-4m2
Calculated total energy: -141.56 eV per cell

a b c (Å): 4.959 4.917 4.959
angles (deg): 59.72 90.00 120.28
Positions (direct):
Ca: 0.250 0.500 0.250
Cd: 0.750 0.500 0.750
Cd: 0.000 0.000 0.000
Au: 0.500 0.000 0.500

Computed, not measured: a crystal of CaCdAu2 relaxed with PBEsol at the SCAN level of DFT.

DOS at the Fermi energy: 1.1 states/eV/cell
Magnetization: 0.0 μB per formula unit
Space group: Amm2
Calculated total energy: -181.04 eV per cell

a b c (Å): 3.722 4.347 5.644
angles (deg): 90.00 109.25 90.00
Positions (direct):
Ca: 0.471 0.000 0.943
Cd: 0.773 0.500 0.546
Au: 0.042 0.500 0.085
Au: 0.202 0.000 0.405

Computed, not measured: a crystal of CaCdAu2 relaxed with PBEsol at the SCAN level of DFT.

DOS at the Fermi energy: 1.4 states/eV/cell
Magnetization: 0.0 μB per formula unit
Space group: I-4m2
Calculated total energy: -180.70 eV per cell

a b c (Å): 4.303 4.303 5.261
angles (deg): 114.14 114.14 90.00
Positions (direct):
Au: 0.750 0.250 0.500
Au: 0.500 0.500 0.000
Cd: 0.250 0.750 0.500
Ca: 0.000 0.000 0.000

Computed, not measured: a crystal of CaCd2Au4 relaxed with PBEsol at the SCAN level of DFT.

DOS at the Fermi energy: 1.7 states/eV/cell
Magnetization: 0.0 μB per formula unit
Space group: I4/mmm
Calculated total energy: -350.93 eV per cell

a b c (Å): 5.480 5.714 5.714
angles (deg): 76.71 61.35 61.35
Positions (direct):
Au: 0.304 0.000 0.393
Au: 0.304 0.393 0.000
Au: 0.696 0.000 0.607
Au: 0.696 0.607 0.000
Cd: 0.250 0.500 0.500
Cd: 0.750 0.500 0.500
Ca: 0.000 0.000 0.000

Computed, not measured: a crystal of CaCdAu2 relaxed with PBEsol at the SCAN level of DFT.

DOS at the Fermi energy: 1.3 states/eV/cell
Magnetization: 0.0 μB per formula unit
Space group: P4/mmm
Calculated total energy: -180.99 eV per cell

a b c (Å): 3.521 3.521 6.592
angles (deg): 90.00 90.00 90.00
Positions (direct):
Cd: 0.500 0.500 0.500
Au: 0.000 0.000 0.728
Au: 0.000 0.000 0.272
Ca: 0.500 0.500 0.000

Computed, not measured: a crystal of Ca2CdAu relaxed with PBEsol at the SCAN level of DFT.

DOS at the Fermi energy: 2.6 states/eV/cell
Magnetization: 0.0 μB per formula unit
Space group: Pmm2
Calculated total energy: -121.52 eV per cell

a b c (Å): 3.731 5.109 5.107
angles (deg): 90.00 90.00 90.00
Positions (direct):
Ca: 0.000 0.000 0.125
Ca: 0.000 0.500 0.625
Cd: 0.500 0.000 0.624
Au: 0.500 0.500 0.126

Computed, not measured: a crystal of CaCd2Au relaxed with PBEsol at the SCAN level of DFT.

DOS at the Fermi energy: 1.4 states/eV/cell
Magnetization: 0.0 μB per formula unit
Space group: I4/mmm
Calculated total energy: -141.34 eV per cell

a b c (Å): 4.570 4.570 5.140
angles (deg): 116.40 116.40 90.00
Positions (direct):
Cd: 0.250 0.750 0.500
Cd: 0.750 0.250 0.500
Au: 0.500 0.500 0.000
Ca: 0.000 0.000 0.000

Computed, not measured: a crystal of CaAu2Cl relaxed with PBEsol at the SCAN level of DFT.

Energy relative to the elements, uncorrected: -400 kJ/mol of formula units
DOS at the Fermi energy: 1.0 states/eV/cell
Magnetization: 0.0 μB per formula unit
Space group: P4mm

a b c (Å): 3.733 3.733 6.620
angles (deg): 90.00 90.00 90.00
Positions (direct):
Ca: 0.000 0.000 0.529
Cl: 0.500 0.500 0.677
Au: 0.000 0.000 0.119
Au: 0.500 0.500 0.175

Computed, not measured: a crystal of Ca2AuCl relaxed with PBEsol at the SCAN level of DFT.

Energy relative to the elements, uncorrected: -433 kJ/mol of formula units
DOS at the Fermi energy: 3.4 states/eV/cell
Magnetization: 0.0 μB per formula unit
Space group: Fm-3m
Excess energy over the best structure of this formula in the dataset: 0.206 eV per atom

a b c (Å): 5.153 5.153 5.153
angles (deg): 60.00 60.00 60.00
Positions (direct):
Ca: 0.250 0.250 0.250
Ca: 0.750 0.750 0.750
Au: 0.000 0.000 0.000
Cl: 0.500 0.500 0.500

Computed, not measured: a crystal of Ca2AuCl relaxed with PBEsol at the SCAN level of DFT.

Energy relative to the elements, uncorrected: -512 kJ/mol of formula units
DOS at the Fermi energy: 1.8 states/eV/cell
Magnetization: 0.0 μB per formula unit
Space group: P4/mmm
Excess energy over the best structure of this formula in the dataset: 0.000 eV per atom

a b c (Å): 3.510 3.510 7.708
angles (deg): 90.00 90.00 90.00
Positions (direct):
Ca: 0.000 0.000 0.273
Ca: 0.000 0.000 0.727
Cl: 0.500 0.500 0.000
Au: 0.500 0.500 0.500

Computed, not measured: a crystal of CaPb2AuCl relaxed with PBEsol at the SCAN level of DFT.

Energy relative to the elements, uncorrected: 161 kJ/mol of formula units
DOS at the Fermi energy: 4.2 states/eV/cell
Magnetization: 0.0 μB per formula unit
Space group: P4/mmm

a b c (Å): 5.149 5.967 5.967
angles (deg): 90.00 90.00 90.00
Positions (direct):
Ca: 0.000 0.000 0.000
Pb: 0.000 0.000 0.500
Pb: 0.000 0.500 0.000
Cl: 0.500 0.500 0.500
Au: 0.500 0.000 0.000

Computed, not measured: a crystal of CaCoAu relaxed with PBEsol at the SCAN level of DFT.

DOS at the Fermi energy: 2.2 states/eV/cell
Magnetization: 1.5 μB per formula unit
Space group: P-6m2
Calculated total energy: -96.87 eV per cell

a b c (Å): 4.144 4.144 3.984
angles (deg): 90.00 90.00 120.00
Last column: magnetic moment on the atom in μB.
Positions (direct):
Co: 0.667 0.333 0.500  1.73
Au: 0.000 0.000 0.500  0.03
Ca: 0.333 0.667 0.000  -0.05